No. 1
Below is a crystal of K2SrMn relaxed with PBEsol, with properties calculated at the SCAN level.

Properties
As for the energy relative to the elements: 305 meV per atom. The energy above the lowest structure with this stoichiometry comes out at 0 meV/atom.

Lattice parameters (Å, degrees): 4.056 4.056 11.124 90.00 90.00 90.00
Space group P4mm (No. 99)
Asymmetric unit:
K 0.000 0.000 0.000 (multiplicity 1)
K 0.500 0.500 0.337 (multiplicity 1)
Sr 0.500 0.500 0.695 (multiplicity 1)
Mn 0.000 0.000 0.546 (multiplicity 1)

No. 2
Below is a crystal of KSrMn relaxed with PBEsol, with properties calculated at the SCAN level.

Properties
As for the energy relative to the elements: 559 meV per atom.

Lattice parameters (Å, degrees): 5.8143 5.8143 3.7781 90.00 90.00 120.00
Space group P3m1 (No. 156)
Asymmetric unit:
K 0.0000 0.0000 0.0000 (multiplicity 1)
Sr 0.6667 0.3333 0.3755 (multiplicity 1)
Mn 0.3333 0.6667 0.7354 (multiplicity 1)